DFT (GGA-PBEsol) results for a relaxed structure of LiBi3N.

Calculated total energy in eV per formula unit: -21.87
Volume in Å³ per cell: 118
Size of the total moment in μB per cell: 0.0

Lattice parameters (Å, degrees): 4.911 4.911 4.911 90.00 90.00 90.00
Space group Pm-3m (No. 221)
Asymmetric unit:
Li: 0.000 0.000 0.000
Bi: 0.000 0.500 0.500
N: 0.500 0.500 0.500